Compound: YAl2Au
Source: OQMD
Functional: PBE
Structure: optimized geometry

Computed properties:
The calculation puts the raw total energy at -4.7229 eV per atom.

Geometry as CIF:
```
data_YAl2Au
_chemical_formula_sum 'Y4 Al8 Au4'
_cell_length_a 6.825
_cell_length_b 6.825
_cell_length_c 6.825
_cell_angle_alpha 90.00
_cell_angle_beta 90.00
_cell_angle_gamma 90.00
_symmetry_space_group_name_H-M 'F -4 3 m'
_symmetry_Int_Tables_number 216
_symmetry_space_group_name_Hall 'F -4 2 3'
loop_
_atom_site_label
_atom_site_type_symbol
_atom_site_fract_x
_atom_site_fract_y
_atom_site_fract_z
Y1 Y 0.000 0.000 0.000
Al1 Al 0.000 0.000 0.500
Al2 Al 0.250 0.250 0.250
Au1 Au 0.250 0.250 0.750
```



Compound: Al2ZnAu
Source: OQMD
Functional: PBE
Structure: optimized geometry

Computed properties:
The calculation puts the raw total energy at -2.9894 eV per atom.

Geometry as CIF:
```
data_Al2ZnAu
_chemical_formula_sum 'Al8 Zn4 Au4'
_cell_length_a 6.474
_cell_length_b 6.474
_cell_length_c 6.474
_cell_angle_alpha 90.00
_cell_angle_beta 90.00
_cell_angle_gamma 90.00
_symmetry_space_group_name_H-M 'F -4 3 m'
_symmetry_Int_Tables_number 216
_symmetry_space_group_name_Hall 'F -4 2 3'
loop_
_atom_site_label
_atom_site_type_symbol
_atom_site_fract_x
_atom_site_fract_y
_atom_site_fract_z
Al1 Al 0.000 0.000 0.000
Al2 Al 0.250 0.250 0.250
Zn1 Zn 0.000 0.000 0.500
Au1 Au 0.250 0.250 0.750
```



Compound: Al2ZnAu2
Source: OQMD
Functional: PBE
Structure: optimized geometry

Computed properties:
The calculation puts the raw total energy at -3.0762 eV per atom.

Geometry as CIF:
```
data_Al2ZnAu2
_chemical_formula_sum 'Al4 Zn2 Au4'
_cell_length_a 4.154
_cell_length_b 4.154
_cell_length_c 11.397
_cell_angle_alpha 90.00
_cell_angle_beta 90.00
_cell_angle_gamma 90.00
_symmetry_space_group_name_H-M 'I 4/m m m'
_symmetry_Int_Tables_number 139
_symmetry_space_group_name_Hall '-I 4 2'
loop_
_atom_site_label
_atom_site_type_symbol
_atom_site_fract_x
_atom_site_fract_y
_atom_site_fract_z
Al1 Al 0.000 0.000 0.111
Zn1 Zn 0.000 0.000 0.500
Au1 Au 0.000 0.500 0.250
```



Compound: AlZn2Au
Source: OQMD
Functional: PBE
Structure: optimized geometry

Computed properties:
The calculation puts the raw total energy at -2.4395 eV per atom.

Geometry as CIF:
```
data_AlZn2Au
_chemical_formula_sum 'Al4 Zn8 Au4'
_cell_length_a 6.349
_cell_length_b 6.349
_cell_length_c 6.349
_cell_angle_alpha 90.00
_cell_angle_beta 90.00
_cell_angle_gamma 90.00
_symmetry_space_group_name_H-M 'F -4 3 m'
_symmetry_Int_Tables_number 216
_symmetry_space_group_name_Hall 'F -4 2 3'
loop_
_atom_site_label
_atom_site_type_symbol
_atom_site_fract_x
_atom_site_fract_y
_atom_site_fract_z
Al1 Al 0.000 0.000 0.000
Zn1 Zn 0.000 0.000 0.500
Zn2 Zn 0.250 0.250 0.750
Au1 Au 0.250 0.250 0.250
```



Compound: ZrAlAu2
Source: OQMD
Functional: PBE
Structure: optimized geometry

Computed properties:
The calculation puts the raw total energy at -5.2216 eV per atom.

Geometry as CIF:
```
data_ZrAlAu2
_chemical_formula_sum 'Zr4 Al4 Au8'
_cell_length_a 7.926
_cell_length_b 6.978
_cell_length_c 5.359
_cell_angle_alpha 90.00
_cell_angle_beta 90.00
_cell_angle_gamma 90.00
_symmetry_space_group_name_H-M 'P n m a'
_symmetry_Int_Tables_number 62
_symmetry_space_group_name_Hall '-P 2ac 2n'
loop_
_atom_site_label
_atom_site_type_symbol
_atom_site_fract_x
_atom_site_fract_y
_atom_site_fract_z
Zr1 Zr 0.052 0.250 0.139
Al1 Al 0.099 0.750 0.353
Au1 Au 0.179 0.042 0.629
```



Compound: ZrAlAu2
Source: OQMD
Functional: PBE
Structure: optimized geometry

Computed properties:
The calculation puts the raw total energy at -5.0922 eV per atom.

Geometry as CIF:
```
data_ZrAlAu2
_chemical_formula_sum 'Zr4 Al4 Au8'
_cell_length_a 6.627
_cell_length_b 6.627
_cell_length_c 6.627
_cell_angle_alpha 90.00
_cell_angle_beta 90.00
_cell_angle_gamma 90.00
_symmetry_space_group_name_H-M 'F -4 3 m'
_symmetry_Int_Tables_number 216
_symmetry_space_group_name_Hall 'F -4 2 3'
loop_
_atom_site_label
_atom_site_type_symbol
_atom_site_fract_x
_atom_site_fract_y
_atom_site_fract_z
Zr1 Zr 0.000 0.000 0.000
Al1 Al 0.250 0.250 0.750
Au1 Au 0.000 0.000 0.500
Au2 Au 0.250 0.250 0.250
```